# 1
# Ac2Mg5Cd3 (GGA-PBE, relaxed)
data_Ac2Mg5Cd3
_chemical_formula_sum 'Ac8 Mg20 Cd12'
_space_group_name_H-M_alt 'I b a m'
_space_group_IT_number 72
_space_group_name_Hall '-I 2 2c'
_cell_length_a 12.768
_cell_length_b 13.267
_cell_length_c 6.613
_cell_angle_alpha 90.00
_cell_angle_beta 90.00
_cell_angle_gamma 90.00
loop_
_atom_site_label
_atom_site_type_symbol
_atom_site_fract_x
_atom_site_fract_y
_atom_site_fract_z
Ac1 Ac 0.249 0.127 0.000
Mg1 Mg 0.000 0.255 0.250
Mg2 Mg 0.000 0.500 0.250
Mg3 Mg 0.136 0.120 0.500
Cd1 Cd 0.000 0.000 0.250
Cd2 Cd 0.142 0.376 0.000
# E_form   -15.9 kJ per mole of atoms
# Uncorrected energy   -82.32 eV for the cell shown


# 2
# Ac2MgCd8 (GGA-PBE, relaxed)
data_Ac2MgCd8
_chemical_formula_sum 'Ac2 Mg1 Cd8'
_space_group_name_H-M_alt 'P -1'
_space_group_IT_number 2
_cell_length_a 5.676
_cell_length_b 6.189
_cell_length_c 9.724
_cell_angle_alpha 104.51
_cell_angle_beta 91.92
_cell_angle_gamma 114.63
loop_
_space_group_symop_operation_xyz
'x,y,z'
'-x,-y,-z'
loop_
_atom_site_label
_atom_site_type_symbol
_atom_site_fract_x
_atom_site_fract_y
_atom_site_fract_z
Ac1 Ac 0.182 0.152 0.318
Mg1 Mg 0.500 0.000 0.000
Cd1 Cd 0.122 0.301 0.003
Cd2 Cd 0.178 0.518 0.748
Cd3 Cd 0.261 0.752 0.496
Cd4 Cd 0.496 0.246 0.768
# E_form   -16.6 kJ per mole of atoms
# Uncorrected energy   -19.02 eV for the cell shown


# 3
# AcMg2Cd (GGA-PBE, relaxed)
data_AcMg2Cd
_chemical_formula_sum 'Ac1 Mg2 Cd1'
_space_group_name_H-M_alt 'P 4/m m m'
_space_group_IT_number 123
_space_group_name_Hall '-P 4 2'
_cell_length_a 3.737
_cell_length_b 3.737
_cell_length_c 8.079
_cell_angle_alpha 90.00
_cell_angle_beta 90.00
_cell_angle_gamma 90.00
loop_
_atom_site_label
_atom_site_type_symbol
_atom_site_fract_x
_atom_site_fract_y
_atom_site_fract_z
Ac1 Ac 0.000 0.000 0.000
Mg1 Mg 0.500 0.500 0.301
Cd1 Cd 0.000 0.000 0.500
# E_form   -6.5 kJ per mole of atoms
# Uncorrected energy   -8.48 eV for the cell shown


# 4
# AcMgCd2 (GGA-PBE, relaxed)
data_AcMgCd2
_chemical_formula_sum 'Ac4 Mg4 Cd8'
_space_group_name_H-M_alt 'P n m a'
_space_group_IT_number 62
_cell_length_a 7.791
_cell_length_b 5.053
_cell_length_c 11.412
_cell_angle_alpha 90.00
_cell_angle_beta 90.00
_cell_angle_gamma 90.00
loop_
_space_group_symop_operation_xyz
'x,y,z'
'-x,-y,-z'
'-x+1/2,-y,z+1/2'
'x+1/2,y,-z+1/2'
'x+1/2,-y+1/2,-z+1/2'
'-x+1/2,y+1/2,z+1/2'
'-x,y+1/2,-z'
'x,-y+1/2,z'
loop_
_atom_site_label
_atom_site_type_symbol
_atom_site_fract_x
_atom_site_fract_y
_atom_site_fract_z
Ac1 Ac 0.208 0.250 0.167
Mg1 Mg 0.040 0.750 0.399
Cd1 Cd 0.086 0.250 0.852
Cd2 Cd 0.219 0.750 0.962
# E_form   -26.7 kJ per mole of atoms
# Uncorrected energy   -34.55 eV for the cell shown


# 5
# Ac3Mg8Cd (GGA-PBE, relaxed)
data_Ac3Mg8Cd
_chemical_formula_sum 'Ac9 Mg24 Cd3'
_space_group_name_H-M_alt 'R 3 m'
_space_group_IT_number 160
_space_group_name_Hall 'R 3 -2"'
_cell_length_a 6.2631
_cell_length_b 6.2631
_cell_length_c 30.5967
_cell_angle_alpha 90.00
_cell_angle_beta 90.00
_cell_angle_gamma 120.00
loop_
_atom_site_label
_atom_site_type_symbol
_atom_site_fract_x
_atom_site_fract_y
_atom_site_fract_z
Ac1 Ac 0.0000 0.0000 0.0000
Ac2 Ac 0.0000 0.0000 0.1268
Ac3 Ac 0.0000 0.0000 0.5087
Mg1 Mg 0.0000 0.0000 0.3158
Mg2 Mg 0.0000 0.0000 0.8159
Mg3 Mg 0.0004 0.5002 0.0649
Mg4 Mg 0.0012 0.5006 0.5666
Cd1 Cd 0.0000 0.0000 0.6319
# E_form   -7.8 kJ per mole of atoms
# Uncorrected energy   -80.89 eV for the cell shown


# 6
# AcMg2Cd (GGA-PBE, relaxed)
data_AcMg2Cd
_chemical_formula_sum 'Ac1 Mg2 Cd1'
_space_group_name_H-M_alt 'P 1 2/m 1'
_space_group_IT_number 10
_cell_length_a 3.663
_cell_length_b 5.183
_cell_length_c 6.296
_cell_angle_alpha 90.00
_cell_angle_beta 99.10
_cell_angle_gamma 90.00
loop_
_space_group_symop_operation_xyz
'x,y,z'
'-x,-y,-z'
'-x,y,-z'
'x,-y,z'
loop_
_atom_site_label
_atom_site_type_symbol
_atom_site_fract_x
_atom_site_fract_y
_atom_site_fract_z
Ac1 Ac 0.000 0.000 0.000
Mg1 Mg 0.383 0.500 0.725
Cd1 Cd 0.500 0.000 0.500
# E_form   -6.6 kJ per mole of atoms
# Uncorrected energy   -8.48 eV for the cell shown